(1)
First-principles (PBE) data for an optimized crystal structure of LaEuRh4, as listed in Alexandria.

Lattice parameters (Å, degrees): 5.434 5.434 5.434 60.00 60.00 60.00
Each line ends with the local moment (μB).
Element x y z (fractional)
Rh  0.625  0.125  0.625  -0.06
Rh  0.625  0.625  0.125  -0.06
Rh  0.625  0.625  0.625  -0.06
Rh  0.125  0.625  0.625  -0.06
La  0.250  0.250  0.250  0.05
Eu  0.000  0.000  0.000  6.71

V: 18.9 Å³ per atom
M_tot: 6.78 μB/f.u.
Formation enthalpy at 0 K: -0.58 eV per atom
Space group: F-43m (216)

=====

(2)
First-principles (PBE) data for an optimized crystal structure of La4Eu2Ru, as listed in Alexandria.

Lattice parameters (Å, degrees): 5.533 5.533 10.142 74.17 74.17 90.00
Each line ends with the local moment (μB).
Element x y z (fractional)
La  0.000  0.500  0.000  0.04
La  0.850  0.850  0.300  0.13
La  0.150  0.150  0.700  0.13
La  0.500  0.000  0.000  0.04
Ru  0.000  0.000  0.000  0.00
Eu  0.655  0.655  0.689  6.95
Eu  0.345  0.345  0.311  6.95

V: 40.9 Å³ per atom
M_tot: 15.39 μB/f.u.
Formation enthalpy at 0 K: 0.08 eV per atom
Space group: I4/mmm (139)

=====

- Look up the M_tot of the first one.
  6.78 μB/f.u.